No. 1
Below is a geometry-optimized K2AsPt2 structure, with properties calculated at the GGA-PBE level.

Geometry as CIF:
```
data_K2AsPt2
_chemical_formula_sum 'K4 As2 Pt4'
_space_group_name_H-M_alt 'P 1'
_space_group_IT_number 1
_cell_length_a 6.5848
_cell_length_b 6.5848
_cell_length_c 5.4826
_cell_angle_alpha 90.00
_cell_angle_beta 90.00
_cell_angle_gamma 90.00
loop_
_space_group_symop_operation_xyz
'x,y,z'
loop_
_atom_site_label
_atom_site_type_symbol
_atom_site_fract_x
_atom_site_fract_y
_atom_site_fract_z
_atom_site_occupancy
K1 K 0.1750 0.3250 0.0000 1
K2 K 0.3250 0.8250 0.0000 1
K3 K 0.6750 0.1750 0.0000 1
K4 K 0.8250 0.6750 0.0000 1
As1 As 0.0000 0.0000 0.5000 1
As2 As 0.5000 0.5000 0.5000 1
Pt1 Pt 0.1440 0.6440 0.5000 1
Pt2 Pt 0.3560 0.1440 0.5000 1
Pt3 Pt 0.6440 0.8560 0.5000 1
Pt4 Pt 0.8560 0.3560 0.5000 1
```

Results
Energy above the most stable polymorph in this dataset: 0.165 eV/atom
Formation energy: -0.21 eV/atom
Volume: 23.772 Å³ per atom
D(E_F): 4.97 states/eV per cell
Calculated total energy: -3.996 eV/atom

=====

No. 2
Below is a geometry-optimized LiGe2PSe6 structure, with properties calculated at the GGA-PBE level.

Geometry as CIF:
```
data_LiGe2PSe6
_chemical_formula_sum 'Li2 Ge4 P2 Se12'
_space_group_name_H-M_alt 'P 1'
_space_group_IT_number 1
_cell_length_a 8.6402
_cell_length_b 8.6402
_cell_length_c 7.1950
_cell_angle_alpha 103.84
_cell_angle_beta 103.84
_cell_angle_gamma 81.24
loop_
_space_group_symop_operation_xyz
'x,y,z'
loop_
_atom_site_label
_atom_site_type_symbol
_atom_site_fract_x
_atom_site_fract_y
_atom_site_fract_z
_atom_site_occupancy
Li1 Li 0.1237 0.8763 0.7500 1
Li2 Li 0.8763 0.1237 0.2500 1
Ge1 Ge 0.1986 0.3905 0.8059 1
Ge2 Ge 0.3905 0.1986 0.3059 1
Ge3 Ge 0.6095 0.8014 0.6941 1
Ge4 Ge 0.8014 0.6095 0.1941 1
P1 P 0.2300 0.7700 0.2500 1
P2 P 0.7700 0.2300 0.7500 1
Se1 Se 0.0086 0.1904 0.6359 1
Se2 Se 0.0667 0.6502 0.8956 1
Se3 Se 0.1904 0.0086 0.1359 1
Se4 Se 0.3070 0.4298 0.5383 1
Se5 Se 0.3498 0.9333 0.6044 1
Se6 Se 0.4298 0.3070 0.0383 1
Se7 Se 0.5702 0.6930 0.9617 1
Se8 Se 0.6502 0.0667 0.3956 1
Se9 Se 0.6930 0.5702 0.4617 1
Se10 Se 0.8096 0.9914 0.8641 1
Se11 Se 0.9333 0.3498 0.1044 1
Se12 Se 0.9914 0.8096 0.3641 1
```

Results
Volume: 25.190 Å³ per atom
Energy relative to the elements, uncorrected: -272 meV/atom
Calculated total energy: -4.019 eV/atom

=====

No. 3
Below is a geometry-optimized DyMg2TcN4 structure, with properties calculated at the GGA-PBE level.

Geometry as CIF:
```
data_DyMg2TcN4
_chemical_formula_sum 'Dy2 Mg4 Tc2 N8'
_space_group_name_H-M_alt 'P 1'
_space_group_IT_number 1
_cell_length_a 5.8839
_cell_length_b 5.8839
_cell_length_c 11.0255
_cell_angle_alpha 90.00
_cell_angle_beta 90.00
_cell_angle_gamma 147.94
loop_
_space_group_symop_operation_xyz
'x,y,z'
loop_
_atom_site_label
_atom_site_type_symbol
_atom_site_fract_x
_atom_site_fract_y
_atom_site_fract_z
_atom_site_occupancy
Dy1 Dy 0.0797 0.9203 0.7500 1
Dy2 Dy 0.9203 0.0797 0.2500 1
Mg1 Mg 0.3849 0.6151 0.5314 1
Mg2 Mg 0.3849 0.6151 0.9686 1
Mg3 Mg 0.6151 0.3849 0.0314 1
Mg4 Mg 0.6151 0.3849 0.4686 1
Tc1 Tc 0.1794 0.8206 0.2500 1
Tc2 Tc 0.8206 0.1794 0.7500 1
N1 N 0.0000 0.0000 0.0000 1
N2 N 0.0000 0.0000 0.5000 1
N3 N 0.2751 0.7249 0.1196 1
N4 N 0.2751 0.7249 0.3804 1
N5 N 0.4288 0.5712 0.7500 1
N6 N 0.5712 0.4288 0.2500 1
N7 N 0.7249 0.2751 0.6196 1
N8 N 0.7249 0.2751 0.8804 1
```

Results
Volume: 12.662 Å³ per atom
D(E_F): 2.17 states/eV per cell
Energy relative to the elements, uncorrected: -584 meV/atom
Calculated total energy: -7.016 eV/atom

=====

Q: Which value of calculated total energy does entry 1 give?
A: -3.996 eV/atom

=====

Copy entry 1 word for word.
Below is a geometry-optimized K2AsPt2 structure, with properties calculated at the GGA-PBE level.

Geometry as CIF:
```
data_K2AsPt2
_chemical_formula_sum 'K4 As2 Pt4'
_space_group_name_H-M_alt 'P 1'
_space_group_IT_number 1
_cell_length_a 6.5848
_cell_length_b 6.5848
_cell_length_c 5.4826
_cell_angle_alpha 90.00
_cell_angle_beta 90.00
_cell_angle_gamma 90.00
loop_
_space_group_symop_operation_xyz
'x,y,z'
loop_
_atom_site_label
_atom_site_type_symbol
_atom_site_fract_x
_atom_site_fract_y
_atom_site_fract_z
_atom_site_occupancy
K1 K 0.1750 0.3250 0.0000 1
K2 K 0.3250 0.8250 0.0000 1
K3 K 0.6750 0.1750 0.0000 1
K4 K 0.8250 0.6750 0.0000 1
As1 As 0.0000 0.0000 0.5000 1
As2 As 0.5000 0.5000 0.5000 1
Pt1 Pt 0.1440 0.6440 0.5000 1
Pt2 Pt 0.3560 0.1440 0.5000 1
Pt3 Pt 0.6440 0.8560 0.5000 1
Pt4 Pt 0.8560 0.3560 0.5000 1
```

Results
Energy above the most stable polymorph in this dataset: 0.165 eV/atom
Formation energy: -0.21 eV/atom
Volume: 23.772 Å³ per atom
D(E_F): 4.97 states/eV per cell
Calculated total energy: -3.996 eV/atom

=====

Q: Which of these has the highest volume?
A: LiGe2PSe6